Entry from the Alexandria database: Hf4Ni2N after structural relaxation (GGA-PBE).

```
data_Hf4Ni2N
_chemical_formula_sum 'Hf8 Ni4 N2'
_symmetry_space_group_name_H-M 'C 1 2/m 1'
_symmetry_Int_Tables_number 12
_symmetry_space_group_name_Hall '-C 2y'
_cell_length_a 13.493
_cell_length_b 3.171
_cell_length_c 5.693
_cell_angle_alpha 90.00
_cell_angle_beta 112.30
_cell_angle_gamma 90.00
loop_
_atom_site_label
_atom_site_type_symbol
_atom_site_fract_x
_atom_site_fract_y
_atom_site_fract_z
_atom_site_occupancy
Hf1 Hf 0.086 0.000 0.414 1
Hf2 Hf 0.119 0.500 0.963 1
Ni1 Ni 0.240 0.500 0.673 1
N1 N 0.000 0.000 0.000 1
```

Entry from the Alexandria database: Hf6NiN after structural relaxation (GGA-PBE).

```
data_Hf6NiN
_chemical_formula_sum 'Hf6 Ni1 N1'
_symmetry_space_group_name_H-M 'P -1'
_symmetry_Int_Tables_number 2
_symmetry_space_group_name_Hall '-P 1'
_cell_length_a 5.731
_cell_length_b 5.736
_cell_length_c 6.161
_cell_angle_alpha 89.83
_cell_angle_beta 63.33
_cell_angle_gamma 61.53
loop_
_atom_site_label
_atom_site_type_symbol
_atom_site_fract_x
_atom_site_fract_y
_atom_site_fract_z
_atom_site_occupancy
Hf1 Hf 0.042 0.395 0.230 1
Hf2 Hf 0.314 0.771 0.237 1
Hf3 Hf 0.314 0.950 0.765 1
Ni1 Ni 0.500 0.500 0.500 1
N1 N 0.500 0.000 0.000 1
```

Entry from the Alexandria database: HfNiN2 after structural relaxation (GGA-PBE).

```
data_HfNiN2
_chemical_formula_sum 'Hf4 Ni4 N8'
_symmetry_space_group_name_H-M 'F m -3 m'
_symmetry_Int_Tables_number 225
_symmetry_space_group_name_Hall '-F 4 2 3'
_cell_length_a 5.388
_cell_length_b 5.388
_cell_length_c 5.388
_cell_angle_alpha 90.00
_cell_angle_beta 90.00
_cell_angle_gamma 90.00
loop_
_atom_site_label
_atom_site_type_symbol
_atom_site_fract_x
_atom_site_fract_y
_atom_site_fract_z
_atom_site_occupancy
Hf1 Hf 0.000 0.000 0.000 1
Ni1 Ni 0.000 0.000 0.500 1
N1 N 0.250 0.250 0.250 1
```

| no. | raw formation energy (eV/f.u.) |
| --- | --- |
| 1 | -4.10 |
| 2 | -3.15 |
| 3 | -0.59 |